1.
Computed, not measured: an optimized crystal structure of PrSm3Tl4 at the PBE-GGA level of DFT.

Calculated values
Calculated formation energy = -0.243 eV per atom
Mass density = 9.3 g/cm³
Calculated volume = 251.1 Å³/f.u.
Space-group type = Immm (71)

Unit cell a=3.6012 b=7.3694 c=10.3088 alpha=110.92 beta=100.06 gamma=90.00
Positions (direct):
Pr 0.5000 0.0000 0.0000
Sm 0.0000 0.5000 0.0000
Sm 0.2184 0.2183 0.4367
Sm 0.7816 0.7817 0.5633
Tl 0.3719 0.5835 0.7437
Tl 0.6281 0.4165 0.2563
Tl 0.6281 0.8397 0.2563
Tl 0.3719 0.1603 0.7437

---

2.
Computed, not measured: an optimized crystal structure of Y2VGe2 at the PBE-GGA level of DFT.

Calculated values
Calculated formation energy = 0.202 eV per atom
Mass density = 5.1 g/cm³
Calculated volume = 122.5 Å³/f.u.
Space-group type = I4/mmm (139)

Unit cell a=4.5152 b=4.5152 c=6.8025 alpha=70.62 beta=70.62 gamma=90.00
Positions (direct):
Y 0.7500 0.2500 0.5000
Y 0.2500 0.7500 0.5000
Ge 0.4020 0.4020 0.1960
Ge 0.5980 0.5980 0.8040
V 0.0000 0.0000 0.0000

---

3.
Computed, not measured: an optimized crystal structure of AcLa2NdSm2 at the PBE-GGA level of DFT.

Calculated values
Calculated formation energy = 0.246 eV per atom
Mass density = 7.0 g/cm³
Calculated volume = 226.8 Å³/f.u.
Space-group type = Pnnm (58)

Unit cell a=3.5761 b=6.7059 c=18.9132 alpha=90.00 beta=90.00 gamma=90.00
Positions (direct):
Ac 0.0000 0.0000 0.0000
Ac 0.5000 0.5000 0.5000
La 0.5000 0.3089 0.3076
La 0.0000 0.8089 0.1924
La 0.5000 0.6911 0.6924
La 0.0000 0.1911 0.8076
Nd 0.5000 0.5000 0.0000
Nd 0.0000 0.0000 0.5000
Sm 0.5000 0.8140 0.3539
Sm 0.5000 0.1860 0.6461
Sm 0.0000 0.6860 0.8539
Sm 0.0000 0.3140 0.1461

---

4.
Computed, not measured: an optimized crystal structure of Be2AsPt2 at the PBE-GGA level of DFT.

Calculated values
Calculated formation energy = -0.354 eV per atom
Mass density = 12.0 g/cm³
Calculated volume = 66.6 Å³/f.u.
Space-group type = P4/mbm (127)

Unit cell a=6.9480 b=6.9480 c=2.7595 alpha=90.00 beta=90.00 gamma=90.00
Positions (direct):
Be 0.3732 0.8732 0.0000
Be 0.8732 0.6268 0.0000
Be 0.6268 0.1268 0.0000
Be 0.1268 0.3732 0.0000
As 0.0000 0.0000 0.0000
As 0.5000 0.5000 0.0000
Pt 0.1599 0.6599 0.5000
Pt 0.6599 0.8401 0.5000
Pt 0.8401 0.3401 0.5000
Pt 0.3401 0.1599 0.5000

---

5.
Computed, not measured: an optimized crystal structure of TcOs2W at the PBE-GGA level of DFT.

Calculated values
Calculated formation energy = 0.399 eV per atom
Mass density = 18.2 g/cm³
Calculated volume = 60.5 Å³/f.u.
Space-group type = P4/mmm (123)

Unit cell a=3.2701 b=3.2701 c=5.6619 alpha=90.00 beta=90.00 gamma=90.00
Positions (direct):
Os 0.0000 0.0000 0.0030
Os 0.0000 0.0000 0.4970
Tc 0.5000 0.5000 0.2500
W 0.5000 0.5000 0.7500

---

6.
Computed, not measured: an optimized crystal structure of TiTe4Ir at the PBE-GGA level of DFT.

Calculated values
Energy = -5.302 eV/atom
Mass density = 7.2 g/cm³
Calculated volume = 173.9 Å³/f.u.
Space-group type = P2/m (10)

Unit cell a=3.8115 b=7.3605 c=6.2013 alpha=88.30 beta=90.00 gamma=90.00
Positions (direct):
Ti 0.0000 0.0000 0.0000
Te 0.0000 0.7731 0.6553
Te 0.5000 0.2384 0.8264
Te 0.5000 0.7616 0.1736
Te 0.0000 0.2269 0.3447
Ir 0.5000 0.0000 0.5000

---

7.
Computed, not measured: an optimized crystal structure of Ac2ZnGa3 at the PBE-GGA level of DFT.

Calculated values
Calculated formation energy = -0.549 eV per atom
Mass density = 7.7 g/cm³
Calculated volume = 157.5 Å³/f.u.
Space-group type = Pmm2 (25)

Unit cell a=4.6548 b=4.4050 c=7.6812 alpha=90.00 beta=90.00 gamma=90.00
Positions (direct):
Ac 0.0000 0.5000 0.9949
Ac 0.0000 0.0000 0.5037
Zn 0.5000 0.5000 0.3315
Ga 0.5000 0.0000 0.8364
Ga 0.5000 0.0000 0.1697
Ga 0.5000 0.5000 0.6638

---

8.
Computed, not measured: an optimized crystal structure of Rh5C at the PBE-GGA level of DFT.

Calculated values
Calculated formation energy = 0.482 eV per atom
Mass density = 10.5 g/cm³
Calculated volume = 83.2 Å³/f.u.
Space-group type = Cmmm (65)

Unit cell a=7.1172 b=7.1172 c=4.4178 alpha=90.00 beta=90.00 gamma=158.17
Positions (direct):
Rh 0.8874 0.1126 0.0000
Rh 0.1126 0.8874 0.0000
Rh 0.0000 0.0000 0.5000
Rh 0.3282 0.6718 0.5000
Rh 0.6718 0.3282 0.5000
C 0.5000 0.5000 0.0000

---

9.
Computed, not measured: an optimized crystal structure of Y2TaMo at the PBE-GGA level of DFT.

Calculated values
Calculated formation energy = 0.561 eV per atom
Mass density = 8.5 g/cm³
Calculated volume = 88.9 Å³/f.u.
Space-group type = P4/mmm (123)

Unit cell a=2.9908 b=2.9908 c=9.9390 alpha=90.00 beta=90.00 gamma=90.00
Positions (direct):
Mo 0.5000 0.5000 0.2500
Ta 0.5000 0.5000 0.7500
Y 0.0000 0.0000 0.0064
Y 0.0000 0.0000 0.4936

---

10.
Computed, not measured: an optimized crystal structure of BeSeCl4 at the PBE-GGA level of DFT.

Calculated values
Energy = -1.307 eV/atom
Mass density = 2.7 g/cm³
Calculated volume = 143.8 Å³/f.u.
Space-group type = F-43m (216)

Unit cell a=5.8808 b=5.8808 c=5.8808 alpha=60.00 beta=60.00 gamma=60.00
Positions (direct):
Be 0.0000 0.0000 0.0000
Se 0.7500 0.7500 0.7500
Cl 0.8782 0.3740 0.3740
Cl 0.3740 0.3740 0.8782
Cl 0.3740 0.8782 0.3740
Cl 0.3740 0.3740 0.3740

---

11.
Computed, not measured: an optimized crystal structure of RbGeP2Cl at the PBE-GGA level of DFT.

Calculated values
Energy = -2.214 eV/atom
Mass density = 2.4 g/cm³
Calculated volume = 174.5 Å³/f.u.
Space-group type = P4/mmm (123)

Unit cell a=5.5781 b=5.5781 c=5.6080 alpha=90.00 beta=90.00 gamma=90.00
Positions (direct):
P 0.0000 0.5000 0.0000
P 0.5000 0.0000 0.0000
Ge 0.5000 0.5000 0.5000
Rb 0.0000 0.0000 0.0000
Cl 0.0000 0.0000 0.5000

---

12.
Computed, not measured: an optimized crystal structure of Ta2Tc2Pb at the PBE-GGA level of DFT.

Calculated values
Calculated formation energy = 0.495 eV per atom
Mass density = 12.3 g/cm³
Calculated volume = 103.2 Å³/f.u.
Space-group type = I4/mmm (139)

Unit cell a=6.7338 b=6.7338 c=6.7338 alpha=144.35 beta=144.35 gamma=51.30
Positions (direct):
Ta 0.6227 0.6227 0.0000
Ta 0.3773 0.3773 0.0000
Tc 0.2500 0.7500 0.5000
Tc 0.7500 0.2500 0.5000
Pb 0.0000 0.0000 0.0000